(1)
# AlTlCr2O8

A relaxed AlTlCr2O8 crystal (PBE with a Hubbard U, Alexandria via LeMat-Bulk).

Lattice parameters (Å, degrees): 5.3882 5.3882 7.6589 90.00 90.00 120.00
Element x y z (fractional)
O (0.1629, 0.8371, 0.8519)
O (0.6743, 0.8371, 0.8519)
Cr (0.3333, 0.6667, 0.7833)
Tl (0.0000, 0.0000, 0.5000)
O (0.1629, 0.3257, 0.8519)
O (0.8371, 0.1629, 0.1481)
Cr (0.6667, 0.3333, 0.2167)
O (0.3333, 0.6667, 0.5706)
Al (0.0000, 0.0000, 0.0000)
O (0.6667, 0.3333, 0.4294)
O (0.8371, 0.6743, 0.1481)
O (0.3257, 0.1629, 0.1481)

Output
volume	16.05	Å³/atom
SG	P-3m1
M_tot	0.00	μB/f.u.
E_tot	-79.34	eV per cell
N(E_F)	0.0	states/eV/cell

=====

(2)
# Al2Tl2CrO6

A relaxed Al2Tl2CrO6 crystal (PBE with a Hubbard U, Alexandria via LeMat-Bulk).

Lattice parameters (Å, degrees): 5.7141 5.7141 6.3440 63.23 63.23 60.00
Last column: magnetic moment on the atom in μB.
Element x y z (fractional)
O (0.7652, 0.7652, 0.2229)  -0.09
O (0.2348, 0.2348, 0.7771)  -0.09
O (0.2348, 0.7534, 0.7771)  -0.09
Cr (0.0000, 0.0000, 0.0000)  2.75
O (0.2466, 0.7652, 0.2229)  -0.09
O (0.7534, 0.2348, 0.7771)  -0.09
Tl (0.2046, 0.2046, 0.3862)  -0.08
Al (0.3940, 0.3940, 0.8180)  0.00
Al (0.6060, 0.6060, 0.1820)  0.00
Tl (0.7954, 0.7954, 0.6138)  -0.08
O (0.7652, 0.2466, 0.2229)  -0.09

Output
volume	13.93	Å³/atom
SG	R-3m
M_tot	2.06	μB/f.u.
E_tot	-67.80	eV per cell
N(E_F)	2.9	states/eV/cell